# 1
Entry from OQMD: an optimized crystal structure of YZnAu (GGA-PBE).

Properties
E_form ... -669 meV/atom
Total magnetic moment ... 0.00 μB/cell
Theoretical density ... 9.2 Mg/m³
Calculated total energy ... -0.3186 Ry/atom
V ... 63 Å³ per cell

```
YZnAu
1.0
-3.198 -0.969 -3.078
4.266 -1.430 -0.629
-0.751 -2.999 1.724
Au Y Zn
1 1 1
direct
0.000 0.000 0.000
0.333 0.667 0.500
0.667 0.333 0.000
```



# 2
Entry from OQMD: an optimized crystal structure of YZrZn2Au4 (GGA-PBE).

Properties
E_form ... -551 meV/atom
Total magnetic moment ... 0.01 μB/cell
Theoretical density ... 11.9 Mg/m³
Calculated total energy ... -0.3217 Ry/atom
V ... 153 Å³ per cell

```
YZrZn2Au4
1.0
4.766 0.000 0.000
0.000 4.766 0.000
0.000 0.000 6.727
Au Y Zn Zr
4 1 2 1
direct
0.500 0.000 0.235
0.000 0.500 0.235
0.500 0.000 0.765
0.000 0.500 0.765
0.500 0.500 0.500
0.500 0.500 0.000
0.000 0.000 0.500
0.000 0.000 0.000
```



# 3
Entry from OQMD: an optimized crystal structure of YZrAu6 (GGA-PBE).

Properties
E_form ... -610 meV/atom
Total magnetic moment ... 0.01 μB/cell
Theoretical density ... 14.6 Mg/m³
Calculated total energy ... -0.3628 Ry/atom
V ... 155 Å³ per cell

```
YZrAu6
1.0
-0.734 4.730 -1.302
-4.668 0.382 4.022
3.226 1.492 3.602
Au Y Zr
6 1 1
direct
0.500 0.500 0.158
0.000 0.255 0.340
0.000 0.745 0.340
0.500 0.264 0.664
0.500 0.736 0.664
0.000 0.000 0.829
0.500 0.000 0.160
0.000 0.500 0.846
```



# 4
Entry from OQMD: an optimized crystal structure of ZnAu (GGA-PBE).

Properties
E_form ... -191 meV/atom
Theoretical density ... 13.2 Mg/m³
Calculated total energy ... -0.1805 Ry/atom
V ... 132 Å³ per cell

```
ZnAu
1.0
-2.032 2.034 -4.185
0.479 -4.850 -2.590
-4.311 -1.226 1.497
Au Zn
4 4
direct
0.977 0.467 0.000
0.477 0.783 0.000
0.356 0.467 0.500
0.856 0.783 0.500
0.490 0.267 0.000
0.990 0.983 0.000
0.843 0.267 0.500
0.343 0.983 0.500
```



# 5
Entry from OQMD: an optimized crystal structure of ZnAu15 (GGA-PBE).

Properties
E_form ... 37 meV/atom
Theoretical density ... 12.5 Mg/m³
Calculated total energy ... -0.2282 Ry/atom
V ... 803 Å³ per cell
Distance to the lowest polymorph of the same formula ... 0.10 eV per formula unit

```
ZnAu15
1.0
-5.666 -0.543 -1.148
0.051 -2.719 1.033
-10.359 16.313 43.429
Au Zn
30 2
direct
0.875 0.250 0.164
0.127 0.750 0.208
0.623 0.750 0.208
0.875 0.250 0.253
0.375 0.250 0.253
0.125 0.750 0.298
0.625 0.750 0.298
0.875 0.250 0.343
0.375 0.250 0.343
0.125 0.750 0.388
0.625 0.750 0.388
0.875 0.250 0.433
0.375 0.250 0.433
0.625 0.750 0.478
0.125 0.750 0.478
0.875 0.250 0.522
0.375 0.250 0.522
0.625 0.750 0.567
0.125 0.750 0.567
0.375 0.250 0.612
0.875 0.250 0.612
0.625 0.750 0.657
0.125 0.750 0.657
0.375 0.250 0.702
0.875 0.250 0.702
0.625 0.750 0.747
0.125 0.750 0.747
0.377 0.250 0.792
0.873 0.250 0.792
0.125 0.750 0.836
0.375 0.250 0.168
0.625 0.750 0.832
```



# 6
Entry from OQMD: an optimized crystal structure of ZnAu (GGA-PBE).

Properties
E_form ... -181 meV/atom
Theoretical density ... 13.3 Mg/m³
Calculated total energy ... -0.1798 Ry/atom
V ... 262 Å³ per cell

```
ZnAu
1.0
4.991 0.000 0.000
0.000 11.327 0.000
0.000 0.000 4.628
Au Zn
8 8
direct
0.987 0.229 0.000
0.467 0.375 0.000
0.987 0.521 0.000
0.506 0.875 0.000
0.346 0.021 0.500
0.827 0.375 0.500
0.346 0.729 0.500
0.867 0.875 0.500
0.502 0.127 0.000
0.502 0.623 0.000
0.011 0.757 0.000
0.011 0.993 0.000
0.831 0.123 0.500
0.323 0.257 0.500
0.323 0.493 0.500
0.831 0.627 0.500
```



# 7
Entry from OQMD: an optimized crystal structure of ZnAu15 (GGA-PBE).

Properties
E_form ... 43 meV/atom
Theoretical density ... 11.0 Mg/m³
Calculated total energy ... -0.2277 Ry/atom
V ... 912 Å³ per cell
Distance to the lowest polymorph of the same formula ... 0.19 eV per formula unit

```
ZnAu15
1.0
5.831 0.000 0.000
0.000 4.150 0.000
-0.028 0.000 37.678
Au Zn
30 2
direct
0.875 0.750 0.020
0.375 0.750 0.020
0.625 0.250 0.059
0.125 0.250 0.059
0.875 0.750 0.099
0.375 0.750 0.099
0.625 0.250 0.138
0.125 0.250 0.138
0.874 0.750 0.178
0.376 0.750 0.178
0.125 0.250 0.216
0.625 0.250 0.217
0.868 0.750 0.262
0.382 0.750 0.262
0.125 0.250 0.293
0.875 0.750 0.707
0.618 0.250 0.738
0.132 0.250 0.738
0.375 0.750 0.783
0.875 0.750 0.784
0.624 0.250 0.822
0.126 0.250 0.822
0.875 0.750 0.862
0.375 0.750 0.862
0.625 0.250 0.901
0.125 0.250 0.901
0.875 0.750 0.941
0.375 0.750 0.941
0.625 0.250 0.980
0.125 0.250 0.980
0.625 0.250 0.288
0.375 0.750 0.712
```



# 8
Entry from OQMD: an optimized crystal structure of ZnAu (GGA-PBE).

Properties
E_form ... -174 meV/atom
Theoretical density ... 13.3 Mg/m³
Calculated total energy ... -0.1793 Ry/atom
V ... 164 Å³ per cell

```
ZnAu
1.0
2.029 -3.125 3.302
6.200 -3.018 -2.929
2.524 3.487 1.750
Au Zn
5 5
direct
0.830 0.382 0.000
0.211 0.600 0.000
0.612 0.818 0.000
0.459 0.379 0.500
0.238 0.821 0.500
0.406 0.203 0.000
0.009 0.997 0.000
0.059 0.202 0.500
0.848 0.600 0.500
0.661 0.998 0.500
```



# 9
Entry from OQMD: an optimized crystal structure of ZnAu (GGA-PBE).

Properties
E_form ... -208 meV/atom
Theoretical density ... 13.4 Mg/m³
Calculated total energy ... -0.1818 Ry/atom
V ... 130 Å³ per cell

```
ZnAu
1.0
-4.490 0.009 2.444
1.492 -4.580 2.758
1.806 2.581 3.309
Au Zn
4 4
direct
0.034 0.499 0.000
0.534 0.751 0.000
0.799 0.251 0.500
0.299 0.999 0.500
0.503 0.250 0.000
0.003 0.000 0.000
0.330 0.500 0.500
0.830 0.750 0.500
```



# 10
Entry from OQMD: an optimized crystal structure of ZnAu10 (GGA-PBE).

Properties
E_form ... 39 meV/atom
Theoretical density ... 10.2 Mg/m³
Calculated total energy ... -0.2239 Ry/atom
V ... 664 Å³ per cell

```
ZnAu10
1.0
-2.154 0.416 -4.485
1.897 -0.295 -4.609
-6.139 -34.934 -0.248
Au Zn
20 2
direct
0.850 0.850 0.013
0.550 0.550 0.040
0.251 0.251 0.068
0.951 0.951 0.094
0.650 0.650 0.121
0.350 0.350 0.149
0.045 0.045 0.176
0.745 0.745 0.200
0.458 0.458 0.235
0.157 0.157 0.261
0.843 0.843 0.739
0.542 0.542 0.765
0.255 0.255 0.800
0.955 0.955 0.824
0.650 0.650 0.851
0.350 0.350 0.879
0.049 0.049 0.906
0.749 0.749 0.932
0.450 0.450 0.960
0.150 0.150 0.987
0.844 0.844 0.272
0.156 0.156 0.728
```



# 11
Entry from OQMD: an optimized crystal structure of ZnAu2 (GGA-PBE).

Properties
E_form ... 75 meV/atom
Theoretical density ... 13.0 Mg/m³
Calculated total energy ... -0.1855 Ry/atom
V ... 117 Å³ per cell

```
ZnAu2
1.0
4.104 -0.149 3.655
3.364 4.316 0.534
-0.229 3.122 4.519
Au Zn
4 2
direct
0.625 0.625 0.125
0.625 0.125 0.625
0.125 0.625 0.625
0.625 0.625 0.625
0.000 0.000 0.000
0.250 0.250 0.250
```



# 12
Entry from OQMD: an optimized crystal structure of Zn3Au5 (GGA-PBE).

Properties
E_form ... -174 meV/atom
Theoretical density ... 14.7 Mg/m³
Calculated total energy ... -0.1977 Ry/atom
V ... 267 Å³ per cell
Distance to the lowest polymorph of the same formula ... 0.05 eV per formula unit

```
Zn3Au5
1.0
6.515 0.000 0.000
0.000 9.065 0.000
0.000 0.000 4.527
Au Zn
10 6
direct
0.500 0.626 0.209
0.225 0.374 0.211
0.775 0.374 0.211
0.255 0.892 0.297
0.745 0.892 0.297
0.500 0.374 0.709
0.225 0.626 0.711
0.775 0.626 0.711
0.255 0.108 0.797
0.745 0.108 0.797
0.000 0.640 0.214
0.500 0.144 0.294
0.000 0.125 0.295
0.000 0.360 0.714
0.500 0.856 0.794
0.000 0.875 0.795
```



# 13
Entry from OQMD: an optimized crystal structure of Zn3Au5 (GGA-PBE).

Properties
E_form ... -181 meV/atom
Theoretical density ... 14.7 Mg/m³
Calculated total energy ... -0.1982 Ry/atom
V ... 134 Å³ per cell
Distance to the lowest polymorph of the same formula ... 0.00 eV per formula unit

```
Zn3Au5
1.0
-0.057 -3.212 0.730
3.231 0.087 0.634
-2.382 2.716 11.766
Au Zn
5 3
direct
0.500 0.500 0.000
0.500 0.500 0.238
0.000 0.000 0.383
0.000 0.000 0.617
0.500 0.500 0.762
0.000 0.000 0.124
0.500 0.500 0.500
0.000 0.000 0.876
```



# 14
Entry from OQMD: an optimized crystal structure of ZnAu15 (GGA-PBE).

Properties
E_form ... 45 meV/atom
Theoretical density ... 11.0 Mg/m³
Calculated total energy ... -0.2276 Ry/atom
V ... 908 Å³ per cell
Distance to the lowest polymorph of the same formula ... 0.23 eV per formula unit

```
ZnAu15
1.0
-3.337 1.748 -3.388
-27.341 -2.004 25.898
2.107 3.854 2.522
Au Zn
30 2
direct
0.500 0.239 0.250
0.000 0.283 0.250
0.500 0.322 0.250
0.000 0.362 0.250
0.500 0.401 0.250
0.000 0.441 0.250
0.500 0.480 0.250
0.000 0.520 0.250
0.500 0.559 0.250
0.000 0.599 0.250
0.500 0.638 0.250
0.000 0.678 0.250
0.500 0.716 0.250
0.000 0.761 0.250
0.500 0.794 0.250
0.500 0.206 0.750
0.000 0.239 0.750
0.500 0.284 0.750
0.000 0.322 0.750
0.500 0.362 0.750
0.000 0.401 0.750
0.500 0.441 0.750
0.000 0.480 0.750
0.500 0.520 0.750
0.000 0.559 0.750
0.500 0.599 0.750
0.000 0.638 0.750
0.500 0.678 0.750
0.000 0.717 0.750
0.500 0.761 0.750
0.000 0.212 0.250
0.000 0.788 0.750
```



# 15
Entry from OQMD: an optimized crystal structure of ZnAu (GGA-PBE).

Properties
E_form ... -173 meV/atom
Theoretical density ... 13.3 Mg/m³
Calculated total energy ... -0.1793 Ry/atom
V ... 196 Å³ per cell

```
ZnAu
1.0
-1.378 4.017 -2.596
-0.532 -4.828 -7.187
-4.354 -0.896 0.924
Au Zn
6 6
direct
0.475 0.197 0.000
0.975 0.970 0.000
0.832 0.501 0.500
0.332 0.665 0.500
0.363 0.995 0.500
0.863 0.172 0.500
0.989 0.331 0.000
0.503 0.508 0.000
0.003 0.659 0.000
0.489 0.836 0.000
0.837 0.828 0.500
0.337 0.339 0.500
```



# 16
Entry from OQMD: an optimized crystal structure of ZnAu (GGA-PBE).

Properties
E_form ... -144 meV/atom
Theoretical density ... 13.2 Mg/m³
Calculated total energy ... -0.1771 Ry/atom
V ... 198 Å³ per cell

```
ZnAu
1.0
7.373 -1.437 0.000
0.003 5.762 0.000
0.000 0.000 4.664
Au Zn
6 6
direct
0.696 0.175 0.000
0.302 0.321 0.000
0.672 0.670 0.000
0.550 0.386 0.500
0.920 0.734 0.500
0.526 0.881 0.500
0.001 0.509 0.000
0.343 0.836 0.000
0.999 0.992 0.000
0.223 0.064 0.500
0.879 0.219 0.500
0.221 0.547 0.500
```



# 17
Entry from OQMD: an optimized crystal structure of ZnAu15 (GGA-PBE).

Properties
E_form ... 48 meV/atom
Theoretical density ... 11.0 Mg/m³
Calculated total energy ... -0.2273 Ry/atom
V ... 911 Å³ per cell
Distance to the lowest polymorph of the same formula ... 0.28 eV per formula unit

```
ZnAu15
1.0
-0.794 2.647 7.864
-2.463 -1.514 0.261
19.595 -29.800 12.004
Au Zn
30 2
direct
0.875 0.750 0.207
0.134 0.250 0.238
0.616 0.250 0.238
0.875 0.750 0.283
0.375 0.750 0.284
0.124 0.250 0.321
0.626 0.250 0.321
0.875 0.750 0.362
0.375 0.750 0.362
0.125 0.250 0.401
0.625 0.250 0.401
0.875 0.750 0.441
0.375 0.750 0.441
0.625 0.250 0.480
0.125 0.250 0.480
0.875 0.750 0.520
0.375 0.750 0.520
0.625 0.250 0.559
0.125 0.250 0.559
0.375 0.750 0.599
0.875 0.750 0.599
0.625 0.250 0.638
0.125 0.250 0.638
0.374 0.750 0.679
0.876 0.750 0.679
0.625 0.250 0.716
0.125 0.250 0.717
0.384 0.750 0.762
0.866 0.750 0.762
0.125 0.250 0.793
0.375 0.750 0.212
0.625 0.250 0.788
```



# 18
Entry from OQMD: an optimized crystal structure of ZnAu (GGA-PBE).

Properties
E_form ... -167 meV/atom
Theoretical density ... 13.3 Mg/m³
Calculated total energy ... -0.1788 Ry/atom
V ... 164 Å³ per cell

```
ZnAu
1.0
2.195 -4.407 0.060
6.519 0.442 -3.938
2.243 1.169 3.844
Au Zn
5 5
direct
0.435 0.192 0.000
0.827 0.408 0.000
0.598 0.800 0.000
0.055 0.171 0.500
0.426 0.429 0.500
0.205 0.602 0.000
0.007 0.998 0.000
0.656 0.001 0.500
0.857 0.599 0.500
0.267 0.800 0.500
```